Ti2NbMo4: relaxed, PBE-GGA.

Cell: 5.3402 4.3842 5.3497 Å, 90.00 99.01 90.00°
Atoms (fractional coordinates):
Ti (0.1192, 0.0000, 0.2632)
Ti (0.8808, 0.0000, 0.7368)
Nb (0.5000, 0.5000, 0.5000)
Mo (0.2375, 0.5000, 0.9740)
Mo (0.3861, 0.0000, 0.7594)
Mo (0.6139, 0.0000, 0.2406)
Mo (0.7625, 0.5000, 0.0260)

SG = P2/m
E above lowest polymorph = 171 meV/atom
Formation energy = 0.209 eV/atom

---

Ti2NbMo4: relaxed, PBE-GGA.

Cell: 11.6923 11.6923 3.1429 Å, 90.00 90.00 164.10°
Atoms (fractional coordinates):
Ti (0.2023, 0.7977, 0.0000)
Ti (0.7977, 0.2023, 0.0000)
Nb (0.5000, 0.5000, 0.5000)
Mo (0.0713, 0.9287, 0.0000)
Mo (0.3618, 0.6382, 0.5000)
Mo (0.6382, 0.3618, 0.5000)
Mo (0.9287, 0.0713, 0.0000)

SG = Cmmm
E above lowest polymorph = 0 meV/atom
Formation energy = 0.038 eV/atom

---

no.,E (eV/atom),DOS at the Fermi energy (states/eV/cell)
1,-9.67,6.165
2,-9.85,5.838